# Sm3Ho4 GGA-PBE optimized geometry
# ΔH_f (0 K), eV/atom: 0.0182
# SG: Immm (71)
# D(E_F), states/eV/cell: 9.07
# Magnetization, μB per cell: 0.00
# E, eV per cell: -32.34
data_Sm3Ho4
_symmetry_space_group_name_H-M 'P 1'
_symmetry_Int_Tables_number 1
_cell_length_a 3.565
_cell_length_b 5.045
_cell_length_c 12.867
_cell_angle_alpha 101.31
_cell_angle_beta 97.96
_cell_angle_gamma 90.00
loop_
_symmetry_equiv_pos_as_xyz
'x,y,z'
loop_
_atom_site_label
_atom_site_fract_x
_atom_site_fract_y
_atom_site_fract_z
Ho1 0.572 0.072 0.143
Sm1 0.000 0.500 0.000
Ho2 0.285 0.785 0.570
Ho3 0.715 0.215 0.430
Sm2 0.857 0.357 0.714
Sm3 0.143 0.643 0.286
Ho4 0.428 0.928 0.857